{"formula": "Sn3TeS2", "functional": "PBE", "state": "relaxed", "formation_energy_uncorrected_mev_per_atom": -319, "crystal_system": "orthorhombic", "space_group": "Immm", "e_above_lowest_polymorph_mev_per_atom": 0, "lattice_angstrom": [[3.959, 0.000, -1.545], [-1.107, 5.285, -2.835], [0.585, 0.544, 7.344]], "species": ["S", "S", "Sn", "Sn", "Sn", "Te"], "fractional_positions": [[0.662, 0.162, 0.325], [0.338, 0.838, 0.675], [0.683, 0.683, 0.366], [0.317, 0.317, 0.634], [0.000, 0.000, 0.000], [0.000, 0.500, 0.000]]}

---

{"formula": "TbPuFe2", "functional": "PBE", "state": "relaxed", "formation_energy_kj_per_mol_fu": 20.0, "crystal_system": "tetragonal", "space_group": "P4/mmm", "lattice_angstrom": [[-1.583, -1.353, 2.595], [-1.083, -2.470, -1.949], [5.533, -3.606, 1.495]], "species": ["Fe", "Fe", "Tb", "Pu"], "fractional_positions": [[0.000, 0.000, 0.790], [0.000, 0.000, 0.210], [0.500, 0.500, 0.500], [0.500, 0.500, 0.000]]}

---

{"formula": "Zr6Tc5Os", "functional": "PBE", "state": "relaxed", "formation_energy_kj_per_mol_fu": -457.6, "crystal_system": "monoclinic", "space_group": "P2/m", "lattice_angstrom": [[4.560, 0.002, -0.955], [-0.003, 6.583, -0.001], [-0.856, 0.000, 7.312]], "species": ["Os", "Zr", "Zr", "Zr", "Zr", "Zr", "Zr", "Tc", "Tc", "Tc", "Tc", "Tc"], "fractional_positions": [[0.000, 0.000, 0.000], [0.500, 0.250, 0.000], [0.167, 0.750, 0.333], [0.833, 0.250, 0.667], [0.833, 0.750, 0.667], [0.167, 0.250, 0.333], [0.500, 0.750, 0.000], [0.333, 0.000, 0.667], [0.666, 0.500, 0.332], [0.667, 0.000, 0.333], [0.334, 0.500, 0.668], [0.000, 0.500, 0.000]]}

---

{"formula": "LiAl", "functional": "PBE", "state": "relaxed", "formation_energy_kj_per_mol_fu": 170.2, "crystal_system": "cubic", "space_group": "F-43m", "lattice_angstrom": [[-3.445, -2.302, 1.017], [0.454, -3.960, 1.522], [-0.881, -0.827, 4.092]], "species": ["Al", "Li"], "fractional_positions": [[0.000, 0.000, 0.000], [0.750, 0.750, 0.750]]}

---

{"formula": "Pm2ZnCu", "functional": "PBE", "state": "relaxed", "formation_energy_kj_per_mol_fu": -92.6, "crystal_system": "orthorhombic", "space_group": "Pmma", "lattice_angstrom": [[3.620, 0.000, 0.000], [0.000, 5.126, 0.000], [0.000, 0.000, 10.180]], "species": ["Pm", "Pm", "Pm", "Pm", "Cu", "Cu", "Zn", "Zn"], "fractional_positions": [[0.000, 0.750, 0.368], [0.000, 0.750, 0.879], [0.000, 0.250, 0.121], [0.000, 0.250, 0.632], [0.500, 0.250, 0.874], [0.500, 0.750, 0.126], [0.500, 0.250, 0.381], [0.500, 0.750, 0.619]]}

---

{"formula": "CdTeRu2", "functional": "PBE", "state": "relaxed", "formation_energy_uncorrected_mev_per_atom": 468, "crystal_system": "monoclinic", "space_group": "P2/m", "e_above_lowest_polymorph_mev_per_atom": 220, "lattice_angstrom": [[4.147, 0.000, 0.000], [0.000, 3.090, 0.003], [0.000, 1.460, 5.621]], "species": ["Ru", "Ru", "Cd", "Te"], "fractional_positions": [[0.000, 0.112, 0.019], [0.000, 0.388, 0.481], [0.500, 0.750, 0.750], [0.500, 0.250, 0.250]]}

---

{"formula": "CsTl2SnBi", "functional": "PBE", "state": "relaxed", "formation_energy_kj_per_mol_fu": -66.7, "crystal_system": "tetragonal", "space_group": "I-4m2", "e_above_lowest_polymorph_mev_per_atom": 0, "lattice_angstrom": [[5.041, 0.000, 0.000], [0.000, 5.041, 0.000], [-2.520, -2.520, 7.510]], "species": ["Tl", "Tl", "Cs", "Sn", "Bi"], "fractional_positions": [[0.385, 0.385, 0.770], [0.615, 0.615, 0.230], [0.000, 0.000, 0.000], [0.250, 0.750, 0.500], [0.750, 0.250, 0.500]]}

---

{"formula": "Tl16Sn12Au", "functional": "PBE", "state": "relaxed", "formation_energy_kj_per_mol_fu": 15.8, "crystal_system": "monoclinic", "space_group": "Cm", "lattice_angstrom": [[9.893, -0.006, -3.376], [-4.890, 8.600, -3.376], [0.044, 0.076, 10.275]], "species": ["Sn", "Sn", "Sn", "Sn", "Sn", "Sn", "Sn", "Sn", "Sn", "Sn", "Sn", "Sn", "Tl", "Tl", "Tl", "Tl", "Tl", "Tl", "Tl", "Tl", "Tl", "Tl", "Tl", "Tl", "Tl", "Tl", "Tl", "Tl", "Au"], "fractional_positions": [[0.356, 0.178, 0.992], [0.352, 0.988, 0.178], [0.818, 0.630, 0.626], [0.178, 0.356, 0.992], [0.174, 0.991, 0.362], [0.637, 0.637, 0.822], [0.630, 0.818, 0.626], [0.988, 0.352, 0.178], [0.991, 0.174, 0.362], [0.811, 0.176, 0.810], [0.176, 0.811, 0.810], [0.804, 0.804, 0.182], [0.315, 0.702, 0.308], [0.677, 0.005, 0.399], [0.995, 0.638, 0.002], [0.676, 0.402, 0.005], [0.284, 0.590, 0.595], [0.702, 0.315, 0.308], [0.316, 0.316, 0.707], [0.012, 0.012, 0.648], [0.400, 0.997, 0.680], [0.997, 0.400, 0.680], [0.638, 0.995, 0.002], [0.371, 0.371, 0.345], [0.402, 0.676, 0.005], [0.590, 0.284, 0.595], [0.996, 0.996, 0.997], [0.005, 0.677, 0.399], [0.708, 0.708, 0.382]]}

---

{"formula": "Ag2RhAu", "functional": "PBE", "state": "relaxed", "formation_energy_kj_per_mol_fu": 71.9, "crystal_system": "tetragonal", "space_group": "P4mm", "lattice_angstrom": [[-2.345, -1.487, 1.773], [-0.013, -2.516, -2.126], [4.424, -2.906, 3.412]], "species": ["Au", "Ag", "Ag", "Rh"], "fractional_positions": [[0.000, 0.000, 0.513], [0.500, 0.500, 0.249], [0.000, 0.000, 0.992], [0.500, 0.500, 0.746]]}

---

{"formula": "Tb2HoTh3", "functional": "PBE", "state": "relaxed", "formation_energy_kj_per_mol_fu": 17.8, "crystal_system": "monoclinic", "space_group": "P2_1/m", "e_above_lowest_polymorph_mev_per_atom": 0, "lattice_angstrom": [[3.574, 0.000, 0.000], [0.000, 9.992, 1.151], [0.000, -1.130, 10.624]], "species": ["Ho", "Ho", "Th", "Th", "Th", "Th", "Th", "Th", "Tb", "Tb", "Tb", "Tb"], "fractional_positions": [[0.750, 0.123, 0.252], [0.250, 0.877, 0.748], [0.750, 0.621, 0.917], [0.250, 0.877, 0.416], [0.250, 0.379, 0.083], [0.750, 0.123, 0.584], [0.750, 0.625, 0.249], [0.250, 0.375, 0.751], [0.250, 0.868, 0.087], [0.750, 0.628, 0.583], [0.250, 0.372, 0.417], [0.750, 0.132, 0.913]]}

---

{"formula": "BAs", "functional": "PBE", "state": "relaxed", "formation_energy_kj_per_mol_fu": -2.7, "crystal_system": "hexagonal", "space_group": "P6_3mc", "lattice_angstrom": [[-2.284, 2.165, 1.264], [-0.677, -3.322, -0.084], [2.263, -0.590, 5.099]], "species": ["As", "As", "B", "B"], "fractional_positions": [[0.667, 0.333, 0.500], [0.333, 0.667, 0.000], [0.333, 0.667, 0.375], [0.667, 0.333, 0.875]]}

---

{"formula": "Tb7Nd3Sm", "functional": "PBE", "state": "relaxed", "formation_energy_kj_per_mol_fu": 146.1, "crystal_system": "triclinic", "space_group": "P-1", "e_above_lowest_polymorph_mev_per_atom": 0, "lattice_angstrom": [[-6.110, -2.415, -6.084], [8.425, -5.088, -2.361], [0.475, -1.675, 5.305]], "species": ["Tb", "Tb", "Tb", "Tb", "Tb", "Tb", "Tb", "Nd", "Nd", "Nd", "Sm"], "fractional_positions": [[0.500, 0.000, 0.500], [0.644, 0.289, 0.144], [0.088, 0.170, 0.087], [0.912, 0.830, 0.913], [0.356, 0.711, 0.856], [0.817, 0.638, 0.317], [0.183, 0.362, 0.683], [0.000, 0.500, 0.000], [0.217, 0.999, 0.718], [0.783, 0.001, 0.282], [0.500, 0.500, 0.500]]}